KPrPdO3 | PBE | relaxed

Calculated values
Crystal system: monoclinic
Raw formation energy, meV per atom: -1912.9

Cell: 7.0107 7.0107 7.5939 Å, 104.46 104.46 33.10°
Last column: nearest neighbours and their distance in Å.
Fractional positions:
K 0.1435 0.1435 0.0655  6 O 2.69-2.99
K 0.8565 0.8565 0.9345  6 O 2.69-2.99
Pr 0.1494 0.1494 0.5796  7 O 2.38-2.63
Pr 0.8506 0.8506 0.4204  7 O 2.38-2.63
Pd 0.4934 0.4934 0.7268  4 O 2.02-2.10
Pd 0.5066 0.5066 0.2732  4 O 2.02-2.10
O 0.0068 0.0068 0.3097  2 Pd 2.02
O 0.3319 0.3319 0.6340  1 Pd 2.10
O 0.3480 0.3480 0.2196  1 Pd 2.06
O 0.6520 0.6520 0.7804  1 Pd 2.06
O 0.6681 0.6681 0.3660  1 Pd 2.10
O 0.9932 0.9932 0.6903  2 Pd 2.02